# Bi2Au | OQMD | PBE | optimized geometry
# - total energy (Ry per atom) = -0.2388
data_Bi2Au
_symmetry_space_group_name_H-M 'P 1'
_symmetry_Int_Tables_number 1
_symmetry_space_group_name_Hall 'P 1'
_cell_length_a 6.352
_cell_length_b 6.352
_cell_length_c 6.352
_cell_angle_alpha 60.00
_cell_angle_beta 60.00
_cell_angle_gamma 60.00
loop_
_atom_site_label
_atom_site_fract_x
_atom_site_fract_y
_atom_site_fract_z
_atom_site_occupancy
Bi1 0.000 0.000 0.000 1
Bi2 0.000 0.000 0.500 1
Bi3 0.000 0.500 0.000 1
Bi4 0.500 0.000 0.000 1
Au1 0.375 0.375 0.375 1
Au2 0.625 0.625 0.625 1

=====

# Ba2Zr2Pd3 | OQMD | PBE | optimized geometry
# - total energy (Ry per atom) = -0.3884
data_Ba2Zr2Pd3
_symmetry_space_group_name_H-M 'P 1'
_symmetry_Int_Tables_number 1
_symmetry_space_group_name_Hall 'P 1'
_cell_length_a 9.195
_cell_length_b 9.195
_cell_length_c 9.195
_cell_angle_alpha 32.46
_cell_angle_beta 32.46
_cell_angle_gamma 32.46
loop_
_atom_site_label
_atom_site_fract_x
_atom_site_fract_y
_atom_site_fract_z
_atom_site_occupancy
Ba1 0.000 0.000 0.000 1
Ba2 0.466 0.466 0.466 1
Zr1 0.249 0.249 0.249 1
Zr2 0.673 0.673 0.673 1
Pd1 0.349 0.349 0.349 1
Pd2 0.578 0.578 0.578 1
Pd3 0.885 0.885 0.885 1

=====

# Nd2InSn | OQMD | PBE | optimized geometry
# - total energy (Ry per atom) = -0.3463
data_Nd2InSn
_symmetry_space_group_name_H-M 'P 1'
_symmetry_Int_Tables_number 1
_symmetry_space_group_name_Hall 'P 1'
_cell_length_a 4.409
_cell_length_b 6.354
_cell_length_c 6.354
_cell_angle_alpha 43.40
_cell_angle_beta 90.00
_cell_angle_gamma 90.00
loop_
_atom_site_label
_atom_site_fract_x
_atom_site_fract_y
_atom_site_fract_z
_atom_site_occupancy
Nd1 0.000 0.000 0.000 1
Nd2 0.500 0.277 0.277 1
In1 0.000 0.723 0.723 1
Sn1 0.500 0.555 0.555 1

=====

# Nd2Sn3Hg3 | OQMD | PBE | optimized geometry
# - total energy (Ry per atom) = -0.2417
data_Nd2Sn3Hg3
_symmetry_space_group_name_H-M 'P 1'
_symmetry_Int_Tables_number 1
_symmetry_space_group_name_Hall 'P 1'
_cell_length_a 4.687
_cell_length_b 4.818
_cell_length_c 9.200
_cell_angle_alpha 90.00
_cell_angle_beta 90.00
_cell_angle_gamma 90.00
loop_
_atom_site_label
_atom_site_fract_x
_atom_site_fract_y
_atom_site_fract_z
_atom_site_occupancy
Nd1 0.000 0.000 0.247 1
Nd2 0.000 0.000 0.753 1
Sn1 0.000 0.500 0.000 1
Sn2 0.500 0.000 0.000 1
Sn3 0.500 0.000 0.500 1
Hg1 0.000 0.500 0.500 1
Hg2 0.500 0.500 0.254 1
Hg3 0.500 0.500 0.746 1

=====

# HfAlB | OQMD | PBE | optimized geometry
# - total energy (Ry per atom) = -0.5107
data_HfAlB
_symmetry_space_group_name_H-M 'P 1'
_symmetry_Int_Tables_number 1
_symmetry_space_group_name_Hall 'P 1'
_cell_length_a 3.933
_cell_length_b 3.933
_cell_length_c 3.933
_cell_angle_alpha 60.00
_cell_angle_beta 60.00
_cell_angle_gamma 60.00
loop_
_atom_site_label
_atom_site_fract_x
_atom_site_fract_y
_atom_site_fract_z
_atom_site_occupancy
Hf1 0.000 0.000 0.000 1
Al1 0.500 0.500 0.500 1
B1 0.750 0.750 0.750 1

=====

# CsPrPd | OQMD | PBE | optimized geometry
# - total energy (Ry per atom) = -0.2121
data_CsPrPd
_symmetry_space_group_name_H-M 'P 1'
_symmetry_Int_Tables_number 1
_symmetry_space_group_name_Hall 'P 1'
_cell_length_a 5.110
_cell_length_b 5.110
_cell_length_c 5.110
_cell_angle_alpha 60.00
_cell_angle_beta 60.00
_cell_angle_gamma 60.00
loop_
_atom_site_label
_atom_site_fract_x
_atom_site_fract_y
_atom_site_fract_z
_atom_site_occupancy
Cs1 0.000 0.000 0.000 1
Pr1 0.750 0.750 0.750 1
Pd1 0.250 0.250 0.250 1

=====

# SrSmCo2Si2 | OQMD | PBE | optimized geometry
# - total energy (Ry per atom) = -0.4250
data_SrSmCo2Si2
_symmetry_space_group_name_H-M 'P 1'
_symmetry_Int_Tables_number 1
_symmetry_space_group_name_Hall 'P 1'
_cell_length_a 3.981
_cell_length_b 3.981
_cell_length_c 7.286
_cell_angle_alpha 90.00
_cell_angle_beta 90.00
_cell_angle_gamma 90.00
loop_
_atom_site_label
_atom_site_fract_x
_atom_site_fract_y
_atom_site_fract_z
_atom_site_occupancy
Sr1 0.000 0.000 0.000 1
Sm1 0.500 0.500 0.640 1
Co1 0.000 0.500 0.341 1
Co2 0.500 0.000 0.341 1
Si1 0.000 0.000 0.502 1
Si2 0.500 0.500 0.174 1

=====

# Rb2Ir | OQMD | PBE | optimized geometry
# - total energy (Ry per atom) = -0.1507
data_Rb2Ir
_symmetry_space_group_name_H-M 'P 1'
_symmetry_Int_Tables_number 1
_symmetry_space_group_name_Hall 'P 1'
_cell_length_a 6.507
_cell_length_b 6.507
_cell_length_c 6.507
_cell_angle_alpha 60.00
_cell_angle_beta 60.00
_cell_angle_gamma 60.00
loop_
_atom_site_label
_atom_site_fract_x
_atom_site_fract_y
_atom_site_fract_z
_atom_site_occupancy
Rb1 0.000 0.000 0.000 1
Rb2 0.000 0.000 0.500 1
Rb3 0.000 0.500 0.000 1
Rb4 0.500 0.000 0.000 1
Ir1 0.375 0.375 0.375 1
Ir2 0.625 0.625 0.625 1